(1)
Th4SnBi2Se: optimized geometry, PBE.

Summary:
Formation energy without anion corrections, eV/atom: -0.793
ρ, g/cm3: 10.01
Symmetry: P2/m

a b c (Å): 4.4808 7.8766 7.6910
angles (deg): 70.57 90.00 90.00
Fractional positions:
Th  0.5000  0.7307  0.2455
Th  0.5000  0.2693  0.7545
Bi  0.5000  0.0000  0.5000
Th  0.0000  0.2764  0.2310
Se  0.5000  0.5000  0.0000
Sn  0.0000  0.5000  0.5000
Th  0.0000  0.7236  0.7690
Bi  0.0000  0.0000  0.0000

***

(2)
TiSnBi2Se: optimized geometry, PBE.

Summary:
Formation energy without anion corrections, eV/atom: 0.330
ρ, g/cm3: 7.03
Symmetry: P4/mmm

a b c (Å): 5.7492 4.7385 5.7492
angles (deg): 90.00 90.00 90.00
Fractional positions:
Se  0.0000  0.0000  0.0000
Bi  0.5000  0.0000  0.0000
Ti  0.0000  0.5000  0.0000
Bi  0.0000  0.0000  0.5000
Sn  0.5000  0.5000  0.5000

***

(3)
TlSnBiSe3: optimized geometry, PBE.

Summary:
Formation energy without anion corrections, eV/atom: -0.404
ρ, g/cm3: 6.78
Symmetry: P2_1/m

a b c (Å): 4.2156 9.2261 9.8022
angles (deg): 98.68 90.00 90.00
Fractional positions:
Se  0.2500  0.6644  0.4605
Bi  0.2500  0.6282  0.1578
Se  0.7500  0.4062  0.1471
Se  0.7500  0.3356  0.5395
Bi  0.7500  0.3718  0.8422
Tl  0.2500  0.1478  0.1742
Tl  0.7500  0.8522  0.8258
Sn  0.7500  0.8583  0.4603
Se  0.2500  0.1334  0.8215
Se  0.2500  0.5938  0.8529
Se  0.7500  0.8666  0.1785
Sn  0.2500  0.1417  0.5397

***

(4)
TlSn2BiSe4: optimized geometry, PBE.

Summary:
Formation energy without anion corrections, eV/atom: -0.383
ρ, g/cm3: 7.01
Symmetry: P2/m

a b c (Å): 4.2941 7.4570 7.5436
angles (deg): 71.31 90.00 90.00
Fractional positions:
Se  0.0000  0.7640  0.7341
Se  0.0000  0.2360  0.2659
Bi  0.0000  0.5000  0.5000
Tl  0.5000  0.5000  0.0000
Se  0.5000  0.2471  0.7403
Sn  0.5000  0.0000  0.5000
Sn  0.0000  0.0000  0.0000
Se  0.5000  0.7529  0.2597

***

(5)
Tl2SnBiSe4: optimized geometry, PBE.

Summary:
Formation energy without anion corrections, eV/atom: -0.303
ρ, g/cm3: 7.14
Symmetry: I-42m

a b c (Å): 7.3427 6.8414 6.8414
angles (deg): 73.26 57.55 57.55
Fractional positions:
Se  0.4460  0.6320  0.0000
Tl  0.0000  0.5000  0.5000
Se  0.9219  0.0000  0.6320
Se  0.0781  0.3680  0.0000
Se  0.5540  0.0000  0.3680
Bi  0.0000  0.0000  0.0000
Sn  0.5000  0.0000  0.0000
Tl  0.5000  0.5000  0.5000

***

(6)
Sr4BiSe2: optimized geometry, PBE.

Summary:
Formation energy without anion corrections, eV/atom: -1.454
ρ, g/cm3: 4.70
Symmetry: Cmcm

a b c (Å): 4.6007 7.6659 15.0634
angles (deg): 90.00 90.00 107.46
Fractional positions:
Sr  0.5000  0.0000  0.5000
Se  0.1333  0.2666  0.0566
Se  0.1333  0.2666  0.4434
Sr  0.2310  0.4619  0.8772
Sr  0.0572  0.1144  0.2500
Sr  0.9428  0.8856  0.7500
Sr  0.5000  0.0000  0.0000
Bi  0.3876  0.7751  0.2500
Sr  0.7690  0.5381  0.1228
Sr  0.7690  0.5381  0.3772
Bi  0.6124  0.2249  0.7500
Se  0.8667  0.7334  0.5566
Se  0.8667  0.7334  0.9434
Sr  0.2310  0.4619  0.6228

***

(7)
Sr8Bi5Se: optimized geometry, PBE.

Summary:
Formation energy without anion corrections, eV/atom: -1.044
ρ, g/cm3: 5.85
Symmetry: I-4

a b c (Å): 8.7645 8.7645 8.7645
angles (deg): 109.87 108.67 109.87
Fractional positions:
Sr  0.9891  0.1243  0.7336
Sr  0.1352  0.7445  0.0109
Sr  0.6093  0.8757  0.8648
Sr  0.4826  0.6022  0.2362
Bi  0.7526  0.6223  0.6276
Se  0.2500  0.5000  0.7500
Bi  0.0053  0.3777  0.1303
Bi  0.5000  0.0000  0.5000
Sr  0.1196  0.7536  0.5174
Bi  0.8697  0.8751  0.2474
Sr  0.7638  0.2464  0.3660
Sr  0.2664  0.2555  0.3907
Bi  0.3724  0.1249  0.9947
Sr  0.6340  0.3978  0.8804

***

(8)
Sr3BiSe4: optimized geometry, PBE.

Summary:
Formation energy without anion corrections, eV/atom: -1.558
ρ, g/cm3: 5.28
Symmetry: Pmmn

a b c (Å): 6.3213 6.3210 12.3902
angles (deg): 90.00 90.00 90.00
Fractional positions:
Se  0.0640  0.7495  0.5000
Sr  0.0645  0.7497  0.2500
Se  0.5645  0.7502  0.2546
Se  0.0645  0.2498  0.7546
Bi  0.5643  0.7496  0.5000
Se  0.5640  0.2505  0.0000
Se  0.0645  0.2498  0.2454
Sr  0.5645  0.2503  0.2500
Sr  0.5645  0.7505  0.0000
Se  0.0645  0.7505  0.0000
Se  0.5645  0.7502  0.7454
Sr  0.5645  0.2503  0.7500
Sr  0.0645  0.7497  0.7500
Sr  0.0645  0.2495  0.5000
Se  0.5645  0.2495  0.5000
Bi  0.0643  0.2504  0.0000

***

(9)
SrBiSe3: optimized geometry, PBE.

Summary:
Energy relative to the lowest polymorph listed for this composition, meV per atom: 88
Formation energy without anion corrections, eV/atom: -0.933
ρ, g/cm3: 5.17
Symmetry: C2/m

a b c (Å): 5.6481 8.4112 8.2365
angles (deg): 110.16 90.00 109.62
Fractional positions:
Se  0.3520  0.7040  0.0486
Se  0.1623  0.3246  0.5475
Se  0.9588  0.9177  0.8395
Sr  0.3720  0.7441  0.6823
Se  0.0412  0.0823  0.1605
Bi  0.1550  0.3100  0.8730
Se  0.8377  0.6754  0.4525
Sr  0.6280  0.2559  0.3177
Se  0.6480  0.2960  0.9514
Bi  0.8450  0.6900  0.1270

***

(10)
Sr2BiSe: optimized geometry, PBE.

Summary:
Energy relative to the lowest polymorph listed for this composition, meV per atom: 0
Formation energy without anion corrections, eV/atom: -1.351
ρ, g/cm3: 5.46
Symmetry: R-3m

a b c (Å): 4.4214 4.4214 8.6977
angles (deg): 75.28 75.28 60.00
Fractional positions:
Sr  0.2397  0.2397  0.2808
Sr  0.7603  0.7603  0.7192
Se  0.5000  0.5000  0.5000
Bi  0.0000  0.0000  0.0000

***

(11)
SrBiSe3: optimized geometry, PBE.

Summary:
Energy relative to the lowest polymorph listed for this composition, meV per atom: 0
Formation energy without anion corrections, eV/atom: -1.021
ρ, g/cm3: 6.10
Symmetry: P2_12_12_1

a b c (Å): 4.2654 16.1138 33.7911
angles (deg): 90.00 90.00 90.00
Fractional positions:
Sr  0.2423  0.6868  0.8268
Se  0.7881  0.8954  0.5728
Se  0.2881  0.6046  0.4272
Sr  0.7806  0.9538  0.2938
Bi  0.7225  0.3705  0.9845
Se  0.2347  0.1405  0.7408
Se  0.2102  0.0411  0.8633
Sr  0.7751  0.1191  0.5466
Se  0.2579  0.2718  0.5357
Se  0.1940  0.1380  0.2776
Se  0.2983  0.6691  0.5476
Sr  0.7423  0.8132  0.1732
Sr  0.2249  0.6191  0.9534
Bi  0.2188  0.3017  0.7716
Sr  0.6969  0.9667  0.9231
Se  0.2122  0.9688  0.9918
Se  0.3987  0.1937  0.4083
Se  0.2878  0.0312  0.4918
Sr  0.2194  0.4538  0.2062
Se  0.7983  0.8309  0.4524
Se  0.6013  0.6937  0.0917
Bi  0.2225  0.1295  0.0155
Se  0.7579  0.2282  0.4643
Bi  0.7803  0.7020  0.6092
Se  0.7017  0.1691  0.9524
Se  0.7347  0.3595  0.2592
Se  0.6940  0.3620  0.7224
Se  0.7345  0.8326  0.8527
Se  0.8060  0.6380  0.2224
Se  0.2655  0.3326  0.6473
Se  0.2653  0.8595  0.2408
Se  0.3000  0.7455  0.6653
Sr  0.8031  0.0333  0.4231
Se  0.7898  0.5411  0.6367
Bi  0.7759  0.5525  0.3609
Sr  0.3031  0.4667  0.5769
Bi  0.2241  0.0525  0.1391
Se  0.7421  0.7718  0.9643
Se  0.7655  0.1674  0.3527
Sr  0.2751  0.3809  0.4534
Se  0.8987  0.3063  0.5917
Se  0.7102  0.4589  0.1367
Se  0.2218  0.4789  0.8079
Se  0.7254  0.6072  0.8854
Se  0.2017  0.3309  0.0476
Se  0.2421  0.7282  0.0357
Se  0.2898  0.9589  0.3633
Se  0.3060  0.8620  0.7776
Se  0.7119  0.1046  0.0728
Sr  0.2577  0.3132  0.3268
Se  0.1013  0.8063  0.9083
Se  0.2782  0.5211  0.3079
Bi  0.2759  0.9475  0.6391
Bi  0.2812  0.6983  0.2716
Se  0.7122  0.5312  0.0082
Bi  0.7197  0.2980  0.1092
Se  0.7000  0.2455  0.8347
Sr  0.7577  0.1868  0.6732
Se  0.7782  0.9789  0.6921
Se  0.7653  0.6405  0.7592
Bi  0.7812  0.8017  0.7284
Se  0.7746  0.3928  0.3854
Bi  0.7775  0.6295  0.4845
Bi  0.7241  0.4475  0.8609
Se  0.2000  0.2545  0.1653
Bi  0.2197  0.2020  0.8908
Bi  0.2775  0.8705  0.5155
Sr  0.2806  0.5462  0.7062
Bi  0.2803  0.7980  0.3908
Sr  0.1969  0.5333  0.0769
Se  0.2119  0.3954  0.9272
Bi  0.7188  0.1983  0.2284
Se  0.7218  0.0211  0.1921
Se  0.7878  0.4688  0.5082
Se  0.2345  0.6674  0.1473
Se  0.8000  0.7545  0.3347
Sr  0.7249  0.8809  0.0466
Se  0.2746  0.1072  0.6146
Se  0.2254  0.8928  0.1146
Sr  0.7194  0.0462  0.7938

***

(12)
Sr2BiSe: optimized geometry, PBE.

Summary:
Energy relative to the lowest polymorph listed for this composition, meV per atom: 76
Formation energy without anion corrections, eV/atom: -1.275
ρ, g/cm3: 6.10
Symmetry: P4/mmm

a b c (Å): 3.8666 3.8666 8.4272
angles (deg): 90.00 90.00 90.00
Fractional positions:
Sr  0.0000  0.0000  0.7771
Bi  0.5000  0.5000  0.5000
Se  0.5000  0.5000  0.0000
Sr  0.0000  0.0000  0.2229

***

(13)
SrBiSe3: optimized geometry, PBE.

Summary:
Energy relative to the lowest polymorph listed for this composition, meV per atom: 448
Formation energy without anion corrections, eV/atom: -0.573
ρ, g/cm3: 5.31
Symmetry: Pm-3m

a b c (Å): 5.5040 5.5040 5.5040
angles (deg): 90.00 90.00 90.00
Fractional positions:
Se  0.0000  0.5000  0.0000
Bi  0.0000  0.0000  0.0000
Sr  0.5000  0.5000  0.5000
Se  0.0000  0.0000  0.5000
Se  0.5000  0.0000  0.0000

***

(14)
Sr2BiSe: optimized geometry, PBE.

Summary:
Energy relative to the lowest polymorph listed for this composition, meV per atom: 264
Formation energy without anion corrections, eV/atom: -1.087
ρ, g/cm3: 5.26
Symmetry: I-42d

a b c (Å): 8.5555 8.5555 7.2483
angles (deg): 53.83 53.83 90.00
Fractional positions:
Sr  0.1578  0.6250  0.2500
Sr  0.3750  0.4078  0.7500
Se  0.5000  0.5000  0.0000
Se  0.2500  0.7500  0.5000
Bi  0.0000  0.0000  0.0000
Sr  0.5922  0.1250  0.2500
Bi  0.7500  0.2500  0.5000
Sr  0.8750  0.8422  0.7500

***

(15)
SrBi2Se: optimized geometry, PBE.

Summary:
Formation energy without anion corrections, eV/atom: -0.406
ρ, g/cm3: 6.81
Symmetry: I-42d

a b c (Å): 9.7313 9.7313 7.5108
angles (deg): 49.62 49.62 90.00
Fractional positions:
Bi  0.5606  0.1250  0.2500
Se  0.2500  0.7500  0.5000
Bi  0.3750  0.4394  0.7500
Sr  0.0000  0.0000  0.0000
Se  0.5000  0.5000  0.0000
Bi  0.8750  0.8106  0.7500
Bi  0.1894  0.6250  0.2500
Sr  0.7500  0.2500  0.5000

***

(16)
Sr6BiSe4: optimized geometry, PBE.

Summary:
Formation energy without anion corrections, eV/atom: -1.678
ρ, g/cm3: 4.63
Symmetry: Cmcm

a b c (Å): 4.5519 7.6719 22.6123
angles (deg): 90.00 90.00 107.26
Fractional positions:
Bi  0.6610  0.3220  0.2500
Sr  0.9576  0.9151  0.6643
Se  0.4069  0.8138  0.1223
Sr  0.9576  0.9151  0.8357
Se  0.8623  0.7247  0.5420
Sr  0.5000  0.0000  0.5000
Sr  0.2280  0.4560  0.9148
Se  0.4069  0.8138  0.3777
Sr  0.5000  0.0000  0.0000
Se  0.5931  0.1862  0.6223
Sr  0.2280  0.4560  0.5852
Se  0.1377  0.2753  0.4580
Se  0.5931  0.1862  0.8777
Se  0.1377  0.2753  0.0420
Bi  0.3390  0.6780  0.7500
Se  0.8623  0.7247  0.9580
Sr  0.3313  0.6627  0.2500
Sr  0.0424  0.0849  0.3357
Sr  0.7720  0.5440  0.4148
Sr  0.7720  0.5440  0.0852
Sr  0.6687  0.3373  0.7500
Sr  0.0424  0.0849  0.1643

***

(17)
Sr2BiSe4: optimized geometry, PBE.

Summary:
Energy relative to the lowest polymorph listed for this composition, meV per atom: 0
Formation energy without anion corrections, eV/atom: -1.234
ρ, g/cm3: 5.42
Symmetry: Pbam

a b c (Å): 4.4531 7.9366 12.1409
angles (deg): 90.00 90.00 90.00
Fractional positions:
Se  0.0000  0.8690  0.2814
Bi  0.0000  0.5000  0.0000
Sr  0.5000  0.5995  0.3156
Se  0.5000  0.2327  0.4435
Sr  0.5000  0.9005  0.8156
Sr  0.5000  0.4005  0.6844
Se  0.5000  0.7673  0.5565
Se  0.0000  0.6310  0.7814
Se  0.0000  0.3690  0.2186
Se  0.0000  0.1310  0.7186
Se  0.5000  0.7327  0.0565
Bi  0.0000  0.0000  0.5000
Sr  0.5000  0.0995  0.1844
Se  0.5000  0.2673  0.9435

***

(18)
Sr2BiSe: optimized geometry, PBE.

Summary:
Energy relative to the lowest polymorph listed for this composition, meV per atom: 283
Formation energy without anion corrections, eV/atom: -1.069
ρ, g/cm3: 5.92
Symmetry: Fm-3m

a b c (Å): 5.6862 5.6862 5.6862
angles (deg): 60.00 60.00 60.00
Fractional positions:
Bi  0.5000  0.5000  0.5000
Sr  0.2500  0.2500  0.2500
Sr  0.7500  0.7500  0.7500
Se  0.0000  0.0000  0.0000

***

(19)
SrBiSe3: optimized geometry, PBE.

Summary:
Energy relative to the lowest polymorph listed for this composition, meV per atom: 1173
Formation energy without anion corrections, eV/atom: 0.152
ρ, g/cm3: 4.82
Symmetry: Pm-3m

a b c (Å): 5.6844 5.6844 5.6844
angles (deg): 90.00 90.00 90.00
Fractional positions:
Se  0.5000  0.0000  0.0000
Se  0.0000  0.5000  0.0000
Bi  0.5000  0.5000  0.5000
Se  0.0000  0.0000  0.5000
Sr  0.0000  0.0000  0.0000